[1]
Computed, not measured: a relaxed structure of Li8AlCd2 at the PBE level of DFT.

Its space group is C2/m. Its total energy is -22.5 eV/cell.

Cell: 4.5541 4.5541 10.6004 Å, 102.27 102.27 59.94°
Closest atoms and distances in Å follow each position.
Fractional coordinates of all 11 atoms:
Al 0.0000 0.0000 0.0000  8 Li 2.71-2.77
Cd 0.4519 0.4519 0.3566  7 Li 2.78-2.84, 1 Cd 2.95
Cd 0.5481 0.5481 0.6434  7 Li 2.78-2.84, 1 Cd 2.95
Li 0.3617 0.3617 0.0858  4 Li 2.66-2.78, 3 Al 2.77, 1 Cd 2.78
Li 0.7243 0.7243 0.1735  8 Li 2.66-2.93
Li 0.0880 0.0880 0.2639  1 Al 2.71, 4 Li 2.79-2.85, 3 Cd 2.79-2.80
Li 0.8194 0.8194 0.4588  5 Li 2.76-2.93, 3 Cd 2.83-2.84
Li 0.1806 0.1806 0.5412  5 Li 2.76-2.93, 3 Cd 2.83-2.84
Li 0.9120 0.9120 0.7361  1 Al 2.71, 4 Li 2.79-2.85, 3 Cd 2.79-2.80
Li 0.2757 0.2757 0.8265  8 Li 2.66-2.93
Li 0.6383 0.6383 0.9142  4 Li 2.66-2.78, 3 Al 2.77, 1 Cd 2.78

=====

[2]
Computed, not measured: a relaxed structure of AcDyPO at the PBE level of DFT.

Its space group is Pmc2_1. The calculation puts the offset from the most stable computed form at 0.000 eV/atom. Its total energy is -54.5 eV/cell. The total moment is 0.9 μB per formula unit.

Cell: 4.4594 5.4875 7.5005 Å, 90.00 90.00 90.00°
Closest atoms and distances in Å follow each position.
Fractional coordinates of all 8 atoms:
Ac 0.0000 0.3786 0.0934  2 O 2.62-2.63
Ac 0.0000 0.6214 0.5934  2 O 2.62-2.63
Dy 0.5000 0.1391 0.4431  2 O 2.27
Dy 0.5000 0.8609 0.9431  2 O 2.27
O 0.0000 0.2061 0.4197  2 Dy 2.27
O 0.0000 0.7939 0.9197  2 Dy 2.27
P 0.5000 0.6606 0.2978  3 Dy 2.84-3.06, 4 Ac 3.12-3.15
P 0.5000 0.3394 0.7978  3 Dy 2.84-3.06, 4 Ac 3.12-3.15

=====

[3]
Computed, not measured: a relaxed structure of NaInSiPd at the PBE level of DFT.

Its space group is F-43m. The calculation puts the offset from the most stable computed form at 0.076 eV/atom. Its total energy is -14.6 eV/cell.

Cell: 4.6903 4.6903 4.6903 Å, 60.00 60.00 60.00°
Closest atoms and distances in Å follow each position.
Fractional coordinates of all 4 atoms:
In 0.0000 0.0000 0.0000  4 Na 2.87, 4 Si 2.87
Na 0.7500 0.7500 0.7500  4 In 2.87, 4 Pd 2.87
Pd 0.5000 0.5000 0.5000  4 Si 2.87, 4 Na 2.87
Si 0.2500 0.2500 0.2500  4 Pd 2.87, 4 In 2.87

=====

[4]
Computed, not measured: a relaxed structure of RbPa2O6 at the PBE level of DFT.

Its space group is Fd-3m. Its total energy is -144.1 eV/cell. The total moment is 0.0 μB per formula unit.

Cell: 8.0528 8.0528 8.0528 Å, 60.00 60.00 60.00°
Closest atoms and distances in Å follow each position.
Fractional coordinates of all 18 atoms:
O 0.4467 0.0533 0.0533  2 Pa 2.17
O 0.0533 0.4467 0.0533  2 Pa 2.17
O 0.4467 0.4467 0.0533  2 Pa 2.17
O 0.8033 0.1967 0.1967  2 Pa 2.17
O 0.1967 0.8033 0.1967  2 Pa 2.17
O 0.8033 0.8033 0.1967  2 Pa 2.17
O 0.4467 0.0533 0.4467  2 Pa 2.17
O 0.0533 0.4467 0.4467  2 Pa 2.17
O 0.0533 0.0533 0.4467  2 Pa 2.17
O 0.8033 0.1967 0.8033  2 Pa 2.17
O 0.1967 0.1967 0.8033  2 Pa 2.17
O 0.1967 0.8033 0.8033  2 Pa 2.17
Pa 0.1250 0.1250 0.1250  6 O 2.17
Pa 0.6250 0.1250 0.1250  6 O 2.17
Pa 0.1250 0.6250 0.1250  6 O 2.17
Pa 0.1250 0.1250 0.6250  6 O 2.17
Rb 0.5000 0.5000 0.5000  6 O 3.45
Rb 0.7500 0.7500 0.7500  6 O 3.45

=====

[5]
Computed, not measured: a relaxed structure of NbCoOs2 at the PBE level of DFT.

Its space group is F-43m. As for the energy relative to the elements: 0.270 eV/atom. Its total energy is -38.6 eV/cell. The total moment is 1.5 μB per formula unit.

Cell: 4.3455 4.3455 4.3455 Å, 60.00 60.00 60.00°
Closest atoms and distances in Å follow each position.
Fractional coordinates of all 4 atoms:
Co 0.2500 0.2500 0.2500  4 Os 2.66, 4 Nb 2.66
Nb 0.5000 0.5000 0.5000  4 Os 2.66, 4 Co 2.66
Os 0.0000 0.0000 0.0000  4 Co 2.66, 4 Os 2.66
Os 0.7500 0.7500 0.7500  4 Nb 2.66, 4 Os 2.66

=====

[6]
Computed, not measured: a relaxed structure of ErAgPbSe3 at the PBE level of DFT.

Its space group is Pnma. The calculation puts the offset from the most stable computed form at 0.058 eV/atom. Its total energy is -108.1 eV/cell. The total moment is 0.0 μB per formula unit.

Cell: 8.4691 4.2728 16.5875 Å, 90.00 90.00 90.00°
Closest atoms and distances in Å follow each position.
Fractional coordinates of all 24 atoms:
Ag 0.1278 0.2500 0.1403  4 Se 2.62-2.67
Ag 0.6278 0.2500 0.3597  4 Se 2.62-2.67
Ag 0.3722 0.7500 0.6403  4 Se 2.62-2.67
Ag 0.8722 0.7500 0.8597  4 Se 2.62-2.67
Er 0.7540 0.2500 0.0321  7 Se 2.84-3.13
Er 0.2540 0.2500 0.4679  7 Se 2.84-3.13
Er 0.7460 0.7500 0.5321  7 Se 2.84-3.13
Er 0.2460 0.7500 0.9679  7 Se 2.84-3.13
Pb 0.4246 0.7500 0.2222  5 Se 3.10-3.19
Pb 0.9246 0.7500 0.2778  5 Se 3.10-3.19
Pb 0.0754 0.2500 0.7222  5 Se 3.10-3.19
Pb 0.5754 0.2500 0.7778  5 Se 3.10-3.19
Se 0.3875 0.2500 0.0543  1 Ag 2.62, 2 Er 2.84
Se 0.9710 0.7500 0.0868  2 Ag 2.67, 2 Er 2.96
Se 0.6866 0.2500 0.2029  1 Ag 2.65, 1 Er 2.89
Se 0.1866 0.2500 0.2971  1 Ag 2.65, 1 Er 2.89
Se 0.4710 0.7500 0.4132  2 Ag 2.67, 2 Er 2.96
Se 0.8875 0.2500 0.4457  1 Ag 2.62, 2 Er 2.84
Se 0.1125 0.7500 0.5543  1 Ag 2.62, 2 Er 2.84
Se 0.5290 0.2500 0.5868  2 Ag 2.67, 2 Er 2.96
Se 0.8134 0.7500 0.7029  1 Ag 2.65, 1 Er 2.89
Se 0.3134 0.7500 0.7971  1 Ag 2.65, 1 Er 2.89
Se 0.0290 0.2500 0.9132  2 Ag 2.67, 2 Er 2.96
Se 0.6125 0.7500 0.9457  1 Ag 2.62, 2 Er 2.84

=====

[7]
Computed, not measured: a relaxed structure of GdB2 at the PBE level of DFT.

Its space group is P6/mmm. The calculation puts the offset from the most stable computed form at 0.000 eV/atom. Its total energy is -19.5 eV/cell. The total moment is 0.0 μB per formula unit.

Cell: 3.3107 3.3107 3.9339 Å, 90.00 90.00 120.00°
Closest atoms and distances in Å follow each position.
Fractional coordinates of all 3 atoms:
B 0.6667 0.3334 0.5000  3 B 1.91
B 0.3334 0.6667 0.5000  3 B 1.91
Gd 0.0000 0.0000 0.0000  12 B 2.74

=====

[8]
Computed, not measured: a relaxed structure of LiZnAgHg at the PBE level of DFT.

Its space group is F-43m. The calculation puts the offset from the most stable computed form at 0.000 eV/atom. Its total energy is -7.1 eV/cell.

Cell: 4.5717 4.5717 4.5717 Å, 60.00 60.00 60.00°
Closest atoms and distances in Å follow each position.
Fractional coordinates of all 4 atoms:
Ag 0.5000 0.5000 0.5000  4 Zn 2.80, 4 Li 2.80
Hg 0.0000 0.0000 0.0000  4 Li 2.80, 4 Zn 2.80
Li 0.7500 0.7500 0.7500  4 Hg 2.80, 4 Ag 2.80
Zn 0.2500 0.2500 0.2500  4 Ag 2.80, 4 Hg 2.80

=====

[9]
Computed, not measured: a relaxed structure of RbCo2Se3 at the PBE level of DFT.

Its space group is P2_1/m. Its total energy is -56.9 eV/cell. The total moment is 1.7 μB per formula unit.

Cell: 8.6706 3.6542 9.5373 Å, 90.00 115.90 90.00°
Closest atoms and distances in Å follow each position.
Fractional coordinates of all 12 atoms:
Co 0.0242 0.7500 0.1056  4 Se 2.30-2.36
Co 0.0259 0.2500 0.3448  6 Se 2.42-2.47
Co 0.9741 0.7500 0.6552  6 Se 2.42-2.47
Co 0.9758 0.2500 0.8944  4 Se 2.30-2.36
Rb 0.4772 0.2500 0.2382  7 Se 3.45-3.55, 2 Rb 3.65
Rb 0.5228 0.7500 0.7618  7 Se 3.45-3.55, 2 Rb 3.65
Se 0.8393 0.2500 0.0615  4 Co 2.34-2.47
Se 0.2230 0.7500 0.3628  3 Co 2.30-2.46
Se 0.8577 0.7500 0.3737  3 Co 2.42-2.43
Se 0.1423 0.2500 0.6263  3 Co 2.42-2.43
Se 0.7770 0.2500 0.6372  3 Co 2.30-2.46
Se 0.1607 0.7500 0.9385  4 Co 2.34-2.47

=====

[10]
Computed, not measured: a relaxed structure of PrMg2H6 at the PBE level of DFT.

Its space group is P4/mmm. Its total energy is -30.5 eV/cell. The total moment is 0.0 μB per formula unit.

Cell: 3.6666 3.6666 7.9901 Å, 90.00 90.00 90.00°
Closest atoms and distances in Å follow each position.
Fractional coordinates of all 9 atoms:
H 0.5000 0.5000 0.0000  2 Mg 2.23, 8 H 2.43
H 0.5000 0.0000 0.2005  2 Mg 1.94
H 0.0000 0.5000 0.2005  2 Mg 1.94
H 0.5000 0.5000 0.5000  2 Mg 1.76
H 0.5000 0.0000 0.7995  2 Mg 1.94
H 0.0000 0.5000 0.7995  2 Mg 1.94
Mg 0.5000 0.5000 0.2792  5 H 1.76-1.94
Mg 0.5000 0.5000 0.7208  5 H 1.76-1.94
Pr 0.0000 0.0000 0.0000  12 H 2.43-2.59

=====

[11]
Computed, not measured: a relaxed structure of CsPuGe at the PBE level of DFT.

Its space group is F-43m. Its total energy is -16.8 eV/cell. The total moment is 5.1 μB per formula unit.

Cell: 5.1707 5.1707 5.1707 Å, 60.00 60.00 60.00°
Closest atoms and distances in Å follow each position.
Fractional coordinates of all 3 atoms:
Cs 0.0000 0.0000 0.0000  4 Ge 3.17, 4 Pu 3.17
Ge 0.7500 0.7500 0.7500  4 Cs 3.17
Pu 0.2500 0.2500 0.2500  4 Cs 3.17

=====

[12]
Computed, not measured: a relaxed structure of Nd2YNi9 at the PBE level of DFT.

Its space group is R-3m. As for the energy relative to the elements: -0.339 eV/atom. Its total energy is -70.2 eV/cell. The total moment is 0.5 μB per formula unit.

Cell: 8.7597 8.7597 8.7597 Å, 33.07 33.07 33.07°
Closest atoms and distances in Å follow each position.
Fractional coordinates of all 12 atoms:
Nd 0.1384 0.1384 0.1384  12 Ni 2.88-3.20, 3 Nd 3.20
Nd 0.8616 0.8616 0.8616  12 Ni 2.88-3.20, 3 Nd 3.20
Ni 0.5795 0.5795 0.0809  7 Ni 2.45-2.59
Ni 0.3329 0.3329 0.3329  6 Ni 2.45-2.46
Ni 0.9191 0.4205 0.4205  7 Ni 2.45-2.59
Ni 0.4205 0.9191 0.4205  7 Ni 2.45-2.59
Ni 0.5000 0.5000 0.5000  6 Ni 2.59
Ni 0.5795 0.0809 0.5795  7 Ni 2.45-2.59
Ni 0.0809 0.5795 0.5795  7 Ni 2.45-2.59
Ni 0.6671 0.6671 0.6671  6 Ni 2.45-2.46
Ni 0.4205 0.4205 0.9191  7 Ni 2.45-2.59
Y 0.0000 0.0000 0.0000  18 Ni 2.88-3.19